InBiS2 | PBE | optimized geometry

Geometry as POSCAR:
```
InBiS2
1.0
4.0483 0.0000 0.0000
-2.0242 3.5060 0.0000
0.0000 0.0000 8.6307
In Bi S
1 1 2
direct
0.0000 0.0000 0.0000
0.6667 0.3333 0.5840
0.0000 0.0000 0.4147
0.3333 0.6667 0.7979
```

Properties
Symmetry: P3m1, No. 156
Energy relative to the elements, uncorrected in eV/f.u.: -1.27
Density of states at the Fermi level in states/eV per cell: 0.000



InBiS2 | PBE | optimized geometry

Geometry as POSCAR:
```
InBiS2
1.0
2.0344 1.1746 7.7301
-2.0344 1.1746 7.7301
0.0000 -2.3491 7.7301
In Bi S
1 1 2
direct
0.0000 0.0000 0.0000
0.1781 0.1781 0.1781
0.5875 0.5875 0.5875
0.7797 0.7797 0.7797
```

Properties
Symmetry: R3m, No. 160
Energy relative to the elements, uncorrected in eV/f.u.: -1.34



InBiS2 | PBE | optimized geometry

Geometry as POSCAR:
```
InBiS2
1.0
3.3070 -1.8547 0.0000
3.3070 1.8547 0.0000
-2.3166 0.0000 7.8242
In Bi S
1 1 2
direct
0.0000 0.0000 0.0000
0.0000 0.0000 0.5000
0.3914 0.3914 0.1986
0.6086 0.6086 0.8014
```

Properties
Symmetry: C2/m, No. 12
Energy relative to the elements, uncorrected in eV/f.u.: -1.10
Density of states at the Fermi level in states/eV per cell: 1.457



InBi2S2 | PBE | optimized geometry

Geometry as POSCAR:
```
InBi2S2
1.0
-2.2701 2.2701 7.0251
2.2701 -2.2701 7.0251
2.2701 2.2701 -7.0251
In Bi S
1 2 2
direct
0.0000 0.0000 0.0000
0.2500 0.7500 0.5000
0.7500 0.2500 0.5000
0.4245 0.4245 0.0000
0.5755 0.5755 0.0000
```

Properties
Symmetry: I4/mmm, No. 139
Distance to the lowest polymorph of the same formula in meV/atom: 134
Energy relative to the elements, uncorrected in eV/f.u.: 0.69
Density of states at the Fermi level in states/eV per cell: 2.313



In2Bi2S7 | PBE | optimized geometry

Geometry as POSCAR:
```
In2Bi2S7
1.0
4.2099 -5.9098 0.0000
4.2099 5.9098 0.0000
-0.5229 0.0000 6.5621
In Bi S
2 2 7
direct
0.2156 0.2156 0.1083
0.7844 0.7844 0.8917
0.1945 0.8055 0.5000
0.8055 0.1945 0.5000
0.0652 0.4493 0.2633
0.0749 0.0749 0.7472
0.4493 0.0652 0.2633
0.5000 0.5000 0.0000
0.5507 0.9348 0.7367
0.9251 0.9251 0.2528
0.9348 0.5507 0.7367
```

Properties
Symmetry: C2/m, No. 12
Energy relative to the elements, uncorrected in eV/f.u.: -1.39
Density of states at the Fermi level in states/eV per cell: 8.855



In2BiS2 | PBE | optimized geometry

Geometry as POSCAR:
```
In2BiS2
1.0
8.0779 0.0000 0.0000
0.0000 8.0779 0.0000
0.0000 0.0000 3.6137
In Bi S
4 2 4
direct
0.1446 0.3554 0.0000
0.3554 0.8554 0.0000
0.6446 0.1446 0.0000
0.8554 0.6446 0.0000
0.0000 0.0000 0.0000
0.5000 0.5000 0.0000
0.1422 0.6422 0.5000
0.3578 0.1422 0.5000
0.6422 0.8578 0.5000
0.8578 0.3578 0.5000
```

Properties
Symmetry: P4/mbm, No. 127
Distance to the lowest polymorph of the same formula in meV/atom: 124
Energy relative to the elements, uncorrected in eV/f.u.: 0.08
Density of states at the Fermi level in states/eV per cell: 6.659



InBiS2 | PBE | optimized geometry

Geometry as POSCAR:
```
InBiS2
1.0
6.2913 0.0000 0.0000
0.0000 5.7179 0.0000
0.0000 0.0000 11.7786
In Bi S
4 4 8
direct
0.1121 0.2500 0.1395
0.3879 0.7500 0.6395
0.6121 0.2500 0.3605
0.8879 0.7500 0.8605
0.1743 0.7500 0.4025
0.3257 0.2500 0.9025
0.6743 0.7500 0.0975
0.8257 0.2500 0.5975
0.0666 0.7500 0.1571
0.1831 0.2500 0.3635
0.3169 0.7500 0.8635
0.4334 0.2500 0.6571
0.5666 0.7500 0.3429
0.6831 0.2500 0.1365
0.8169 0.7500 0.6365
0.9334 0.2500 0.8429
```

Properties
Symmetry: Pnma, No. 62
Energy relative to the elements, uncorrected in eV/f.u.: -1.16
Density of states at the Fermi level in states/eV per cell: 0.002



InBiS2 | PBE | optimized geometry

Geometry as POSCAR:
```
InBiS2
1.0
2.4799 1.4318 5.0650
-2.4799 1.4318 5.0650
0.0000 -2.8635 5.0650
In Bi S
1 1 2
direct
0.0000 0.0000 0.0000
0.5257 0.5257 0.5257
0.1828 0.1828 0.1828
0.6980 0.6980 0.6980
```

Properties
Symmetry: R3m, No. 160
Energy relative to the elements, uncorrected in eV/f.u.: -0.59
Density of states at the Fermi level in states/eV per cell: 0.022



Question: The lowest energy relative to the elements, uncorrected belongs to which entry?
Answer: In2Bi2S7